Material: RbTe2Se2
Method: DFT, PBE
State: relaxed

Structure (POSCAR):
```
RbTe2Se2
1.0
-5.6195 -0.9090 -3.0394
-0.9011 -1.5235 5.4497
0.1750 5.5688 1.3389
Rb Te Se
1 2 2
direct
0.0000 0.0000 0.0000 Rb
0.5000 0.2534 0.7466 Te
0.5000 0.7466 0.2534 Te
0.4114 0.7239 0.7239 Se
0.5886 0.2761 0.2761 Se
```

The value obtained for the uncorrected formation energy is -0.34 eV/atom. The density of states at the Fermi level comes out at 2.90 states/eV/cell.